{
  "formula": "K2LiPb",
  "functional": "PBE",
  "state": "optimized geometry",
  "total_energy_ev_per_atom": -1.984,
  "vol_a3_per_atom": 35.30,
  "magmom_total_mub_per_cell": 0.706,
  "formation_energy_ev_per_atom": -0.030,
  "lattice": [[0.000, 4.133, 4.133], [4.133, 0.000, 4.133], [4.133, 4.133, 0.000]],
  "species": ["K", "K", "Li", "Pb"],
  "fractional_positions": [[0.000, 0.000, 0.000], [0.250, 0.250, 0.250], [0.750, 0.750, 0.750], [0.500, 0.500, 0.500]]
}

{
  "formula": "MnTc3Os",
  "functional": "PBE",
  "state": "optimized geometry",
  "total_energy_ev_per_atom": -8.886,
  "de_polymorph_mev_per_atom": 0.0,
  "vol_a3_per_atom": 16.12,
  "magmom_total_mub_per_cell": 0.000,
  "formation_energy_ev_per_atom": 1.414,
  "lattice": [[4.319, 0.000, 0.000], [0.000, 4.319, 0.000], [0.000, 0.000, 4.319]],
  "species": ["Mn", "Tc", "Tc", "Tc", "Os"],
  "fractional_positions": [[0.000, 0.000, 0.000], [0.000, 0.000, 0.500], [0.000, 0.500, 0.000], [0.500, 0.000, 0.000], [0.500, 0.500, 0.500]]
}

{
  "formula": "NdDy2Tm4",
  "functional": "PBE",
  "state": "optimized geometry",
  "total_energy_ev_per_atom": -4.473,
  "de_polymorph_mev_per_atom": 41.0,
  "vol_a3_per_atom": 31.42,
  "magmom_total_mub_per_cell": 0.000,
  "formation_energy_ev_per_atom": 0.078,
  "lattice": [[5.986, 0.000, 0.000], [2.987, 7.876, 0.000], [2.963, -0.219, 9.329]],
  "species": ["Nd", "Nd", "Dy", "Dy", "Dy", "Dy", "Tm", "Tm", "Tm", "Tm", "Tm", "Tm", "Tm", "Tm"],
  "fractional_positions": [[0.000, 0.000, 0.000], [0.288, 0.143, 0.277], [0.176, 0.639, 0.776], [0.183, 0.572, 0.139], [0.882, 0.504, 0.502], [0.986, 0.072, 0.639], [0.355, 0.717, 0.416], [0.385, 0.221, 0.913], [0.431, 0.284, 0.560], [0.564, 0.859, 0.717], [0.610, 0.780, 0.061], [0.740, 0.363, 0.217], [0.777, 0.427, 0.862], [0.807, 0.922, 0.364]]
}

{
  "formula": "TaRhCl2",
  "functional": "PBE",
  "state": "optimized geometry",
  "total_energy_ev_per_atom": -5.139,
  "formation_energy_uncorrected_ev_per_atom": 0.586,
  "de_polymorph_mev_per_atom": 1244.2,
  "vol_a3_per_atom": 20.00,
  "magmom_total_mub_per_cell": 0.000,
  "lattice": [[-2.927, 2.927, 4.668], [2.927, -2.927, 4.668], [2.927, 2.927, -4.668]],
  "species": ["Ta", "Ta", "Rh", "Rh", "Cl", "Cl", "Cl", "Cl"],
  "fractional_positions": [[0.000, 0.000, 0.000], [0.750, 0.250, 0.500], [0.250, 0.750, 0.500], [0.500, 0.500, 0.000], [0.125, 0.625, 0.000], [0.375, 0.375, 0.500], [0.625, 0.125, 0.000], [0.875, 0.875, 0.500]]
}

{
  "formula": "TmHf3N4",
  "functional": "PBE",
  "state": "optimized geometry",
  "total_energy_ev_per_atom": -10.249,
  "formation_energy_uncorrected_ev_per_atom": -1.795,
  "vol_a3_per_atom": 12.11,
  "magmom_total_mub_per_cell": 0.000,
  "lattice": [[3.259, -4.589, 0.000], [3.259, 4.589, 0.000], [0.000, 0.000, 3.239]],
  "species": ["Tm", "Hf", "Hf", "Hf", "N", "N", "N", "N"],
  "fractional_positions": [[0.000, 0.000, 0.000], [0.000, 0.500, 0.500], [0.500, 0.000, 0.500], [0.500, 0.500, 0.000], [0.255, 0.745, 0.000], [0.261, 0.261, 0.500], [0.739, 0.739, 0.500], [0.745, 0.255, 0.000]]
}

{
  "formula": "Pa2SbRh",
  "functional": "PBE",
  "state": "optimized geometry",
  "total_energy_ev_per_atom": -8.147,
  "formation_energy_uncorrected_ev_per_atom": -0.530,
  "de_polymorph_mev_per_atom": 48.9,
  "vol_a3_per_atom": 25.80,
  "magmom_total_mub_per_cell": 0.000,
  "lattice": [[2.001, 1.155, 7.444], [-2.001, 1.155, 7.444], [0.000, -2.310, 7.444]],
  "species": ["Pa", "Pa", "Sb", "Rh"],
  "fractional_positions": [[0.238, 0.238, 0.238], [0.762, 0.762, 0.762], [0.000, 0.000, 0.000], [0.500, 0.500, 0.500]]
}

{
  "formula": "AcSnPd6Au",
  "functional": "PBE",
  "state": "optimized geometry",
  "total_energy_ev_per_atom": -4.894,
  "vol_a3_per_atom": 21.71,
  "magmom_total_mub_per_cell": 0.000,
  "formation_energy_ev_per_atom": -0.167,
  "lattice": [[-3.517, 4.860, 5.716], [3.517, -4.860, 5.716], [3.517, 4.860, -5.716]],
  "species": ["Ac", "Ac", "Sn", "Sn", "Pd", "Pd", "Pd", "Pd", "Pd", "Pd", "Pd", "Pd", "Pd", "Pd", "Pd", "Pd", "Au", "Au"],
  "fractional_positions": [[0.417, 0.167, 0.250], [0.583, 0.833, 0.750], [0.000, 0.500, 0.500], [0.500, 0.500, 0.000], [0.121, 0.329, 0.191], [0.121, 0.930, 0.792], [0.176, 0.926, 0.250], [0.334, 0.584, 0.750], [0.362, 0.070, 0.691], [0.362, 0.671, 0.292], [0.638, 0.329, 0.708], [0.638, 0.930, 0.309], [0.666, 0.416, 0.250], [0.824, 0.074, 0.750], [0.879, 0.070, 0.208], [0.879, 0.671, 0.809], [0.000, 0.000, 0.500], [0.000, 0.500, 0.000]]
}

{
  "formula": "Ir3Ru2Rh8",
  "functional": "PBE",
  "state": "optimized geometry",
  "total_energy_ev_per_atom": -7.625,
  "vol_a3_per_atom": 15.45,
  "magmom_total_mub_per_cell": 0.000,
  "formation_energy_ev_per_atom": 0.370,
  "lattice": [[5.805, -3.521, 0.000], [5.805, 3.521, 0.000], [-0.258, 0.000, 4.913]],
  "species": ["Ir", "Ir", "Ir", "Ru", "Ru", "Rh", "Rh", "Rh", "Rh", "Rh", "Rh", "Rh", "Rh"],
  "fractional_positions": [[0.000, 0.000, 0.000], [0.181, 0.819, 0.500], [0.819, 0.181, 0.500], [0.191, 0.191, 0.740], [0.809, 0.809, 0.260], [0.192, 0.562, 0.023], [0.200, 0.200, 0.255], [0.390, 0.390, 0.537], [0.438, 0.808, 0.977], [0.562, 0.192, 0.023], [0.610, 0.610, 0.463], [0.800, 0.800, 0.745], [0.808, 0.438, 0.977]]
}

{
  "formula": "BePdSN2",
  "functional": "PBE",
  "state": "optimized geometry",
  "total_energy_ev_per_atom": -4.898,
  "formation_energy_uncorrected_ev_per_atom": 1.042,
  "de_polymorph_mev_per_atom": 0.0,
  "vol_a3_per_atom": 16.23,
  "magmom_total_mub_per_cell": 0.000,
  "lattice": [[3.294, 0.000, 0.000], [0.000, 3.294, 0.000], [0.000, 0.000, 7.477]],
  "species": ["Be", "Pd", "S", "N", "N"],
  "fractional_positions": [[0.000, 0.000, 0.000], [0.500, 0.500, 0.500], [0.000, 0.000, 0.500], [0.000, 0.500, 0.000], [0.500, 0.000, 0.000]]
}

{
  "formula": "Ce5PmIr4",
  "functional": "PBE",
  "state": "optimized geometry",
  "total_energy_ev_per_atom": -7.551,
  "vol_a3_per_atom": 27.06,
  "magmom_total_mub_per_cell": 3.386,
  "formation_energy_ev_per_atom": -0.565,
  "lattice": [[9.217, -2.109, 0.000], [9.217, 2.109, 0.000], [-3.167, 0.000, 6.960]],
  "species": ["Ce", "Ce", "Ce", "Ce", "Ce", "Pm", "Ir", "Ir", "Ir", "Ir"],
  "fractional_positions": [[0.000, 0.000, 0.000], [0.334, 0.334, 0.093], [0.334, 0.334, 0.577], [0.666, 0.666, 0.423], [0.666, 0.666, 0.907], [0.000, 0.000, 0.500], [0.200, 0.200, 0.699], [0.500, 0.500, 0.230], [0.500, 0.500, 0.770], [0.800, 0.800, 0.301]]
}

{
  "formula": "HfTh2Ir",
  "functional": "PBE",
  "state": "optimized geometry",
  "total_energy_ev_per_atom": -8.201,
  "vol_a3_per_atom": 29.42,
  "magmom_total_mub_per_cell": 1.042,
  "formation_energy_ev_per_atom": 0.213,
  "lattice": [[1.851, 1.068, 9.921], [-1.851, 1.068, 9.921], [0.000, -2.137, 9.921]],
  "species": ["Hf", "Th", "Th", "Ir"],
  "fractional_positions": [[0.000, 0.000, 0.000], [0.104, 0.104, 0.104], [0.896, 0.896, 0.896], [0.500, 0.500, 0.500]]
}

{
  "formula": "TbPaCu2O8",
  "functional": "PBE",
  "state": "optimized geometry",
  "total_energy_ev_per_atom": -6.895,
  "formation_energy_uncorrected_ev_per_atom": -1.729,
  "vol_a3_per_atom": 13.71,
  "magmom_total_mub_per_cell": 2.383,
  "lattice": [[-3.545, 3.545, 3.273], [3.545, -3.545, 3.273], [3.545, 3.545, -3.273]],
  "species": ["Tb", "Pa", "Cu", "Cu", "O", "O", "O", "O", "O", "O", "O", "O"],
  "fractional_positions": [[0.000, 0.000, 0.000], [0.250, 0.750, 0.500], [0.500, 0.500, 0.000], [0.750, 0.250, 0.500], [0.302, 0.115, 0.813], [0.302, 0.488, 0.187], [0.369, 0.044, 0.325], [0.512, 0.698, 0.813], [0.719, 0.044, 0.675], [0.885, 0.698, 0.187], [0.956, 0.281, 0.325], [0.956, 0.631, 0.675]]
}